--- w ---
# Pm5Tm12Th2 | Alexandria via LeMat-Bulk | PBE-GGA | relaxed
# Calculated volume: 31.85 Å³ per atom
# Crystal system: triclinic
# Spin magnetization: 0.00 μB per cell
data_Pm5Tm12Th2
_chemical_formula_sum 'Pm5 Tm12 Th2'
_cell_length_a 6.237
_cell_length_b 8.909
_cell_length_c 11.020
_cell_angle_alpha 87.29
_cell_angle_beta 81.93
_cell_angle_gamma 87.28
_space_group_name_H-M_alt 'P 1'
_space_group_IT_number 1
loop_
_space_group_symop_operation_xyz
'x,y,z'
loop_
_atom_site_label
_atom_site_type_symbol
_atom_site_fract_x
_atom_site_fract_y
_atom_site_fract_z
Pm1 Pm 0.000 0.000 0.000
Pm2 Pm 0.123 0.987 0.348
Pm3 Pm 0.269 0.569 0.944
Pm4 Pm 0.731 0.431 0.056
Pm5 Pm 0.877 0.013 0.652
Tm1 Tm 0.022 0.342 0.767
Tm2 Tm 0.076 0.661 0.554
Tm3 Tm 0.196 0.294 0.158
Tm4 Tm 0.351 0.865 0.745
Tm5 Tm 0.404 0.177 0.549
Tm6 Tm 0.500 0.182 0.882
Tm7 Tm 0.500 0.818 0.118
Tm8 Tm 0.596 0.823 0.451
Tm9 Tm 0.649 0.135 0.255
Tm10 Tm 0.804 0.706 0.842
Tm11 Tm 0.924 0.339 0.446
Tm12 Tm 0.978 0.658 0.233
Th1 Th 0.458 0.494 0.343
Th2 Th 0.542 0.506 0.657


--- x ---
# Pm5Tm12Th2 | Alexandria via LeMat-Bulk | PBE-GGA | relaxed
# Calculated volume: 33.26 Å³ per atom
# Crystal system: monoclinic
# Spin magnetization: 0.00 μB per cell
data_Pm5Tm12Th2
_chemical_formula_sum 'Pm5 Tm12 Th2'
_cell_length_a 9.251
_cell_length_b 9.251
_cell_length_c 10.802
_cell_angle_alpha 103.32
_cell_angle_beta 103.32
_cell_angle_gamma 44.90
_space_group_name_H-M_alt 'P 1'
_space_group_IT_number 1
loop_
_space_group_symop_operation_xyz
'x,y,z'
loop_
_atom_site_label
_atom_site_type_symbol
_atom_site_fract_x
_atom_site_fract_y
_atom_site_fract_z
Pm1 Pm 0.000 0.000 0.000
Pm2 Pm 0.249 0.249 0.007
Pm3 Pm 0.265 0.265 0.502
Pm4 Pm 0.735 0.735 0.498
Pm5 Pm 0.751 0.751 0.993
Tm1 Tm 0.026 0.026 0.295
Tm2 Tm 0.086 0.599 0.272
Tm3 Tm 0.111 0.589 0.806
Tm4 Tm 0.401 0.914 0.728
Tm5 Tm 0.411 0.889 0.194
Tm6 Tm 0.472 0.472 0.153
Tm7 Tm 0.528 0.528 0.847
Tm8 Tm 0.589 0.111 0.806
Tm9 Tm 0.599 0.086 0.272
Tm10 Tm 0.889 0.411 0.194
Tm11 Tm 0.914 0.401 0.728
Tm12 Tm 0.974 0.974 0.705
Th1 Th 0.291 0.709 0.500
Th2 Th 0.709 0.291 0.500


Stability check: which of them is most stable? w.


--- w ---
# PmTm6Th3 | Alexandria via LeMat-Bulk | PBE-GGA | relaxed
# Calculated volume: 31.45 Å³ per atom
# Crystal system: monoclinic
# Spin magnetization: 0.00 μB per cell
data_PmTm6Th3
_chemical_formula_sum 'Pm2 Tm12 Th6'
_cell_length_a 13.017
_cell_length_b 3.492
_cell_length_c 14.580
_cell_angle_alpha 90.00
_cell_angle_beta 108.36
_cell_angle_gamma 90.00
_space_group_name_H-M_alt 'P 1'
_space_group_IT_number 1
loop_
_space_group_symop_operation_xyz
'x,y,z'
loop_
_atom_site_label
_atom_site_type_symbol
_atom_site_fract_x
_atom_site_fract_y
_atom_site_fract_z
Pm1 Pm 0.081 0.250 0.197
Pm2 Pm 0.919 0.750 0.803
Tm1 Tm 0.142 0.750 0.011
Tm2 Tm 0.159 0.250 0.809
Tm3 Tm 0.214 0.250 0.602
Tm4 Tm 0.263 0.750 0.406
Tm5 Tm 0.338 0.250 0.223
Tm6 Tm 0.393 0.750 0.790
Tm7 Tm 0.607 0.250 0.210
Tm8 Tm 0.662 0.750 0.777
Tm9 Tm 0.737 0.250 0.594
Tm10 Tm 0.786 0.750 0.398
Tm11 Tm 0.841 0.750 0.191
Tm12 Tm 0.858 0.250 0.989
Th1 Th 0.009 0.250 0.395
Th2 Th 0.385 0.250 0.004
Th3 Th 0.465 0.250 0.592
Th4 Th 0.535 0.750 0.408
Th5 Th 0.615 0.750 0.996
Th6 Th 0.991 0.750 0.605


--- x ---
# PmTm6Th3 | Alexandria via LeMat-Bulk | PBE-GGA | relaxed
# Calculated volume: 31.77 Å³ per atom
# Crystal system: monoclinic
# Spin magnetization: 0.00 μB per cell
data_PmTm6Th3
_chemical_formula_sum 'Pm2 Tm12 Th6'
_cell_length_a 13.073
_cell_length_b 3.472
_cell_length_c 14.123
_cell_angle_alpha 90.00
_cell_angle_beta 97.62
_cell_angle_gamma 90.00
_space_group_name_H-M_alt 'P 1'
_space_group_IT_number 1
loop_
_space_group_symop_operation_xyz
'x,y,z'
loop_
_atom_site_label
_atom_site_type_symbol
_atom_site_fract_x
_atom_site_fract_y
_atom_site_fract_z
Pm1 Pm 0.184 0.250 0.392
Pm2 Pm 0.816 0.750 0.608
Tm1 Tm 0.075 0.750 0.602
Tm2 Tm 0.130 0.250 0.021
Tm3 Tm 0.248 0.250 0.796
Tm4 Tm 0.274 0.750 0.202
Tm5 Tm 0.376 0.750 0.000
Tm6 Tm 0.440 0.750 0.402
Tm7 Tm 0.560 0.250 0.598
Tm8 Tm 0.624 0.250 0.000
Tm9 Tm 0.726 0.250 0.798
Tm10 Tm 0.752 0.750 0.204
Tm11 Tm 0.870 0.750 0.979
Tm12 Tm 0.925 0.250 0.398
Th1 Th 0.016 0.750 0.207
Th2 Th 0.325 0.750 0.603
Th3 Th 0.497 0.750 0.800
Th4 Th 0.503 0.250 0.200
Th5 Th 0.675 0.250 0.397
Th6 Th 0.984 0.250 0.793


Stability check: which of them is most stable? w.


--- w ---
# Pm7Tm2Th2 | Alexandria via LeMat-Bulk | PBE-GGA | relaxed
# Calculated volume: 33.62 Å³ per atom
# Crystal system: monoclinic
# Spin magnetization: 0.00 μB per cell
data_Pm7Tm2Th2
_chemical_formula_sum 'Pm7 Tm2 Th2'
_cell_length_a 8.076
_cell_length_b 8.076
_cell_length_c 6.124
_cell_angle_alpha 105.45
_cell_angle_beta 105.45
_cell_angle_gamma 90.31
_space_group_name_H-M_alt 'P 1'
_space_group_IT_number 1
loop_
_space_group_symop_operation_xyz
'x,y,z'
loop_
_atom_site_label
_atom_site_type_symbol
_atom_site_fract_x
_atom_site_fract_y
_atom_site_fract_z
Pm1 Pm 0.000 0.000 0.000
Pm2 Pm 0.053 0.587 0.827
Pm3 Pm 0.230 0.230 0.593
Pm4 Pm 0.413 0.947 0.173
Pm5 Pm 0.587 0.053 0.827
Pm6 Pm 0.770 0.770 0.407
Pm7 Pm 0.947 0.413 0.173
Tm1 Tm 0.223 0.777 0.500
Tm2 Tm 0.777 0.223 0.500
Th1 Th 0.427 0.427 0.197
Th2 Th 0.573 0.573 0.803


--- x ---
# Pm7Tm2Th2 | Alexandria via LeMat-Bulk | PBE-GGA | relaxed
# Calculated volume: 33.74 Å³ per atom
# Crystal system: monoclinic
# Spin magnetization: 0.00 μB per cell
data_Pm7Tm2Th2
_chemical_formula_sum 'Pm7 Tm2 Th2'
_cell_length_a 8.156
_cell_length_b 8.156
_cell_length_c 6.045
_cell_angle_alpha 105.80
_cell_angle_beta 105.80
_cell_angle_gamma 89.88
_space_group_name_H-M_alt 'P 1'
_space_group_IT_number 1
loop_
_space_group_symop_operation_xyz
'x,y,z'
loop_
_atom_site_label
_atom_site_type_symbol
_atom_site_fract_x
_atom_site_fract_y
_atom_site_fract_z
Pm1 Pm 0.000 0.000 0.000
Pm2 Pm 0.044 0.591 0.824
Pm3 Pm 0.409 0.956 0.176
Pm4 Pm 0.428 0.428 0.202
Pm5 Pm 0.572 0.572 0.798
Pm6 Pm 0.591 0.044 0.824
Pm7 Pm 0.956 0.409 0.176
Tm1 Tm 0.227 0.227 0.598
Tm2 Tm 0.773 0.773 0.402
Th1 Th 0.213 0.787 0.500
Th2 Th 0.787 0.213 0.500


Stability check: which of them is most stable? w.


--- w ---
# PmTm3Th | Alexandria via LeMat-Bulk | PBE-GGA | relaxed
# Calculated volume: 32.06 Å³ per atom
# Crystal system: monoclinic
# Spin magnetization: 0.00 μB per cell
data_PmTm3Th
_chemical_formula_sum 'Pm2 Tm6 Th2'
_cell_length_a 6.747
_cell_length_b 6.747
_cell_length_c 8.555
_cell_angle_alpha 106.91
_cell_angle_beta 106.91
_cell_angle_gamma 61.00
_space_group_name_H-M_alt 'P 1'
_space_group_IT_number 1
loop_
_space_group_symop_operation_xyz
'x,y,z'
loop_
_atom_site_label
_atom_site_type_symbol
_atom_site_fract_x
_atom_site_fract_y
_atom_site_fract_z
Pm1 Pm 0.057 0.057 0.234
Pm2 Pm 0.943 0.943 0.766
Tm1 Tm 0.096 0.593 0.379
Tm2 Tm 0.407 0.904 0.621
Tm3 Tm 0.442 0.442 0.770
Tm4 Tm 0.558 0.558 0.230
Tm5 Tm 0.593 0.096 0.379
Tm6 Tm 0.904 0.407 0.621
Th1 Th 0.251 0.251 0.002
Th2 Th 0.749 0.749 0.998


--- x ---
# PmTm3Th | Alexandria via LeMat-Bulk | PBE-GGA | relaxed
# Calculated volume: 32.00 Å³ per atom
# Crystal system: monoclinic
# Spin magnetization: 0.00 μB per cell
data_PmTm3Th
_chemical_formula_sum 'Pm4 Tm12 Th4'
_cell_length_a 8.562
_cell_length_b 8.562
_cell_length_c 10.081
_cell_angle_alpha 96.24
_cell_angle_beta 96.24
_cell_angle_gamma 117.65
_space_group_name_H-M_alt 'P 1'
_space_group_IT_number 1
loop_
_space_group_symop_operation_xyz
'x,y,z'
loop_
_atom_site_label
_atom_site_type_symbol
_atom_site_fract_x
_atom_site_fract_y
_atom_site_fract_z
Pm1 Pm 0.008 0.992 0.750
Pm2 Pm 0.400 0.600 0.250
Pm3 Pm 0.600 0.400 0.750
Pm4 Pm 0.992 0.008 0.250
Tm1 Tm 0.031 0.573 0.673
Tm2 Tm 0.111 0.734 0.047
Tm3 Tm 0.266 0.889 0.453
Tm4 Tm 0.308 0.510 0.882
Tm5 Tm 0.427 0.969 0.827
Tm6 Tm 0.490 0.692 0.618
Tm7 Tm 0.510 0.308 0.382
Tm8 Tm 0.573 0.031 0.173
Tm9 Tm 0.692 0.490 0.118
Tm10 Tm 0.734 0.111 0.547
Tm11 Tm 0.889 0.266 0.953
Tm12 Tm 0.969 0.427 0.327
Th1 Th 0.180 0.271 0.541
Th2 Th 0.271 0.180 0.041
Th3 Th 0.729 0.820 0.959
Th4 Th 0.820 0.729 0.459


Stability check: which of them is most stable? w.